(1)
Below is YMn2 at its PBEsol-relaxed geometry, with properties calculated at the SCAN level.

Cell: 3.0429 3.0429 6.9101 Å, 90.00 90.00 120.00°
Fractional coordinates of all 3 atoms:
Y 0.0000 0.0000 0.0000
Mn 0.3333 0.6667 0.6457
Mn 0.6667 0.3333 0.3543

formation enthalpy at 0 K	0.342	eV per atom
spin magnetization	2.558	μB per atom
DFT total energy	-21.1090	eV per atom
density	6.0	g/cm³

(2)
Below is CsFe2OsN at its PBEsol-relaxed geometry, with properties calculated at the SCAN level.

Cell: 3.7659 3.7659 5.3901 Å, 90.00 90.00 90.00°
Fractional coordinates of all 5 atoms:
Cs 0.0000 0.0000 0.0000
Fe 0.0000 0.5000 0.5000
Fe 0.5000 0.0000 0.5000
Os 0.5000 0.5000 0.0000
N 0.0000 0.0000 0.5000

spin magnetization	1.285	μB per atom
DFT total energy	-29.5039	eV per atom
density	9.7	g/cm³

(3)
Below is Li2BePt at its PBEsol-relaxed geometry, with properties calculated at the SCAN level.

Cell: 4.0223 4.0223 4.0223 Å, 60.00 60.00 60.00°
Fractional coordinates of all 4 atoms:
Li 0.0000 0.0000 0.0000
Li 0.2500 0.2500 0.2500
Be 0.5000 0.5000 0.5000
Pt 0.7500 0.7500 0.7500

formation enthalpy at 0 K	-0.574	eV per atom
spin magnetization	0.000	μB per atom
DFT total energy	-20.4061	eV per atom
density	7.9	g/cm³

The lowest DFT total energy belongs to which entry? CsFe2OsN